[1]
Material: Be2TcBr
Method: DFT, PBE
State: optimized geometry

Cell: 4.8909 4.8909 2.9070 Å, 106.58 106.58 113.36°
Atoms (fractional coordinates):
Be  0.0000  0.5000  0.0000
Be  0.5000  0.0000  0.0000
Tc  0.0000  0.0000  0.5000
Br  0.5000  0.5000  0.5000

Energy above the lowest structure with this stoichiometry (eV/atom): 0.550
Formation energy (no corrections) (meV per atom): 795
Final energy (eV per atom): -4.077
Symmetry: C2/m (12)


[2]
Material: Be2TcBr
Method: DFT, PBE
State: optimized geometry

Cell: 3.1282 3.1282 5.7166 Å, 90.00 90.00 90.00°
Atoms (fractional coordinates):
Be  0.0000  0.0000  0.1741
Be  0.0000  0.0000  0.8259
Tc  0.5000  0.5000  0.0000
Br  0.5000  0.5000  0.5000

Energy above the lowest structure with this stoichiometry (eV/atom): 0.051
Formation energy (no corrections) (meV per atom): 296
Final energy (eV per atom): -4.577
Symmetry: P4/mmm (123)


[3]
Material: BeTcBr
Method: DFT, PBE
State: optimized geometry

Cell: 6.4242 6.0538 3.0526 Å, 82.70 69.18 28.12°
Atoms (fractional coordinates):
Be  0.0000  0.0000  0.0000
Tc  0.6504  0.6504  0.3496
Br  0.3509  0.3509  0.6491

Energy above the lowest structure with this stoichiometry (eV/atom): 0.279
Formation energy (no corrections) (meV per atom): 759
Final energy (eV per atom): -4.496
Symmetry: Fmm2 (42)